Computed, not measured: a geometry-optimized LiMnV2 structure at the PBE level of DFT.

Cell: 4.1005 4.1005 4.1005 Å, 60.00 60.00 60.00°
Fractional coordinates of all 4 atoms:
Li1 0.0000 0.0000 0.0000
Mn1 0.5000 0.5000 0.5000
V1 0.2500 0.2500 0.2500
V2 0.7500 0.7500 0.7500

## Properties
* size of the total moment: 0.000 μB per atom
* polymorph energy (0 for the lowest one): 0.00 kJ/mol of atoms
* energy relative to the elements: 0.203 eV/atom
* V: 12.19 Å³/atom
* space-group type: No. 225
* final energy: -7.13 eV/atom

***

Computed, not measured: a geometry-optimized Ac3AlN structure at the PBE level of DFT.

Cell: 5.3156 5.3156 5.3156 Å, 90.00 90.00 90.00°
Fractional coordinates of all 5 atoms:
Ac1 0.0000 0.0000 0.5000
Ac2 0.0000 0.5000 0.0000
Ac3 0.5000 0.0000 0.0000
Al1 0.5000 0.5000 0.5000
N1 0.0000 0.0000 0.0000

## Properties
* size of the total moment: 0.000 μB per atom
* V: 30.04 Å³/atom
* space-group type: No. 221
* formation energy (no corrections): -0.557 eV per atom
* final energy: -5.44 eV/atom

***

Computed, not measured: a geometry-optimized Zr3CuNi8 structure at the PBE level of DFT.

Cell: 8.4447 8.4447 8.4447 Å, 33.32 33.32 33.32°
Fractional coordinates of all 12 atoms:
Zr1 0.0000 0.0000 0.0000
Zr2 0.1283 0.1283 0.1283
Zr3 0.6098 0.6098 0.6098
Cu1 0.4907 0.4907 0.4907
Ni1 0.0566 0.0566 0.5623
Ni2 0.0566 0.5623 0.0566
Ni3 0.0581 0.5585 0.5585
Ni4 0.3088 0.3088 0.3088
Ni5 0.5585 0.0581 0.5585
Ni6 0.5585 0.5585 0.0581
Ni7 0.5623 0.0566 0.0566
Ni8 0.8089 0.8089 0.8089

## Properties
* size of the total moment: 0.000 μB per atom
* energy relative to the elements: -0.407 eV/atom
* V: 13.48 Å³/atom
* space-group type: No. 160
* final energy: -6.74 eV/atom

***

Computed, not measured: a geometry-optimized Pm5Pr2YSc structure at the PBE level of DFT.

Cell: 10.3558 10.3558 10.3558 Å, 131.53 131.53 70.97°
Fractional coordinates of all 18 atoms:
Pm1 0.0000 0.0000 0.0000
Pm2 0.0717 0.5717 0.9348
Pm3 0.1368 0.0717 0.5000
Pm4 0.3631 0.8632 0.9348
Pm5 0.4283 0.3631 0.5000
Pm6 0.5000 0.5000 0.0000
Pm7 0.5717 0.6368 0.5000
Pm8 0.6368 0.1368 0.0652
Pm9 0.8632 0.9283 0.5000
Pm10 0.9283 0.4283 0.0652
Pr1 0.1244 0.3756 0.5000
Pr2 0.3756 0.8756 0.2513
Pr3 0.6244 0.1244 0.7487
Pr4 0.8756 0.6244 0.5000
Y1 0.2500 0.2500 0.0000
Y2 0.7500 0.7500 0.0000
Sc1 0.2500 0.7500 0.5000
Sc2 0.7500 0.2500 0.5000

## Properties
* size of the total moment: 0.000 μB per atom
* energy relative to the elements: 0.272 eV/atom
* V: 33.86 Å³/atom
* space-group type: No. 140
* final energy: -4.85 eV/atom

***

Computed, not measured: a geometry-optimized Ce3SmAu7 structure at the PBE level of DFT.

Cell: 11.4394 11.4394 12.8308 Å, 90.00 90.00 160.89°
Fractional coordinates of all 22 atoms:
Ce1 0.1429 0.8571 0.5632
Ce2 0.1429 0.8571 0.9368
Ce3 0.1922 0.8078 0.2500
Ce4 0.8078 0.1922 0.7500
Ce5 0.8571 0.1429 0.0632
Ce6 0.8571 0.1429 0.4368
Sm1 0.0064 0.9936 0.2500
Sm2 0.9936 0.0064 0.7500
Au1 0.2785 0.7215 0.5692
Au2 0.2785 0.7215 0.9308
Au3 0.3814 0.6186 0.2500
Au4 0.4022 0.5978 0.6342
Au5 0.4022 0.5978 0.8658
Au6 0.4626 0.5374 0.0789
Au7 0.4626 0.5374 0.4211
Au8 0.5374 0.4626 0.5789
Au9 0.5374 0.4626 0.9211
Au10 0.5978 0.4022 0.1342
Au11 0.5978 0.4022 0.3658
Au12 0.6186 0.3814 0.7500
Au13 0.7215 0.2785 0.0692
Au14 0.7215 0.2785 0.4308

## Properties
* size of the total moment: 0.264 μB per atom
* energy relative to the elements: -0.619 eV/atom
* V: 24.99 Å³/atom
* space-group type: No. 63
* final energy: -4.75 eV/atom

***

Computed, not measured: a geometry-optimized Tb2DyEr2 structure at the PBE level of DFT.

Cell: 12.5743 11.4879 6.4170 Å, 84.15 65.35 30.51°
Fractional coordinates of all 10 atoms:
Tb1 0.0418 0.7082 0.0418
Tb2 0.2918 0.9582 0.2918
Tb3 0.7082 0.0418 0.7082
Tb4 0.9582 0.2918 0.9582
Dy1 0.3750 0.3750 0.3750
Dy2 0.6250 0.6250 0.6250
Er1 0.0000 0.5000 0.5000
Er2 0.5000 0.0000 0.5000
Er3 0.5000 0.5000 0.0000
Er4 0.5000 0.5000 0.5000

## Properties
* size of the total moment: 0.000 μB per atom
* polymorph energy (0 for the lowest one): 39.30 kJ/mol of atoms
* energy relative to the elements: 0.498 eV/atom
* V: 35.49 Å³/atom
* space-group type: No. 70
* final energy: -4.10 eV/atom

***

> Number 6 is which compound?

Tb2DyEr2

***

> Number 6 is which compound?

Tb2DyEr2